(1)
CoPdO2 | meta-GGA SCAN | single point on PBEsol structure

```
data_CoPdO2
_chemical_formula_sum 'Co1 Pd1 O2'
_cell_length_a 6.066
_cell_length_b 6.066
_cell_length_c 6.066
_cell_angle_alpha 29.17
_cell_angle_beta 29.17
_cell_angle_gamma 29.17
_space_group_name_H-M_alt 'P 1'
_space_group_IT_number 1
_space_group_name_Hall 'P 1'
loop_
_atom_site_label
_atom_site_fract_x
_atom_site_fract_y
_atom_site_fract_z
Co1 0.000 0.000 0.000
Pd1 0.500 0.500 0.500
O1 0.101 0.101 0.101
O2 0.899 0.899 0.899
```

Symmetry   R-3m
Total magnetization   1.0 μB per cell
Formation energy (no corrections)   -0.48 eV per atom


(2)
FeP2Os | meta-GGA SCAN | single point on PBEsol structure

```
data_FeP2Os
_chemical_formula_sum 'Fe1 P2 Os1'
_cell_length_a 3.892
_cell_length_b 3.892
_cell_length_c 4.758
_cell_angle_alpha 101.33
_cell_angle_beta 101.33
_cell_angle_gamma 42.26
_space_group_name_H-M_alt 'P 1'
_space_group_IT_number 1
_space_group_name_Hall 'P 1'
loop_
_atom_site_label
_atom_site_fract_x
_atom_site_fract_y
_atom_site_fract_z
Fe1 0.000 0.000 0.000
P1 0.251 0.251 0.767
P2 0.749 0.749 0.233
Os1 0.500 0.500 0.500
```

Symmetry   C2/m
Polymorph energy (0 for the lowest one)   0.000 eV per atom
Energy of formation   7 meV/atom
Total magnetization   1.2 μB per cell


(3)
BeCr2Te | meta-GGA SCAN | single point on PBEsol structure

```
data_BeCr2Te
_chemical_formula_sum 'Be1 Cr2 Te1'
_cell_length_a 6.325
_cell_length_b 6.325
_cell_length_c 6.325
_cell_angle_alpha 29.47
_cell_angle_beta 29.47
_cell_angle_gamma 29.47
_space_group_name_H-M_alt 'P 1'
_space_group_IT_number 1
_space_group_name_Hall 'P 1'
loop_
_atom_site_label
_atom_site_fract_x
_atom_site_fract_y
_atom_site_fract_z
Be1 0.000 0.000 0.000
Cr1 0.275 0.275 0.275
Cr2 0.725 0.725 0.725
Te1 0.500 0.500 0.500
```

Symmetry   R-3m
Polymorph energy (0 for the lowest one)   0.244 eV per atom
Total magnetization   2.3 μB per cell
Formation energy (no corrections)   0.59 eV per atom


(4)
BaSr2Sc | meta-GGA SCAN | single point on PBEsol structure

```
data_BaSr2Sc
_chemical_formula_sum 'Ba1 Sr2 Sc1'
_cell_length_a 3.794
_cell_length_b 6.168
_cell_length_c 7.296
_cell_angle_alpha 90.00
_cell_angle_beta 99.61
_cell_angle_gamma 90.00
_space_group_name_H-M_alt 'P 1'
_space_group_IT_number 1
_space_group_name_Hall 'P 1'
loop_
_atom_site_label
_atom_site_fract_x
_atom_site_fract_y
_atom_site_fract_z
Ba1 0.000 0.000 0.000
Sr1 0.256 0.500 0.734
Sr2 0.744 0.500 0.266
Sc1 0.500 0.000 0.500
```

Symmetry   P2/m
Energy of formation   316 meV/atom
Total magnetization   0.5 μB per cell